[1]
Computed, not measured: crystalline VIn3Au at its relaxed geometry at the GGA-PBE level of DFT.

Lattice parameters (Å, degrees): 5.2908 5.2908 5.2908 90.00 90.00 90.00
Last column: nearest neighbours and their distance in Å.
Fractional positions:
In: 0.0000 0.5000 0.0000  2 V 2.65
In: 0.0000 0.0000 0.5000  2 V 2.65
In: 0.5000 0.0000 0.0000  2 V 2.65
Au: 0.5000 0.5000 0.5000  12 In 3.74
V: 0.0000 0.0000 0.0000  6 In 2.65

The calculated volume comes out at 148.1 Å³ per cell. For the formation enthalpy at 0 K, the calculation gives 3.15 eV/f.u. The value obtained for the raw total energy is -3.492 eV/atom. The total magnetization comes out at 0.8605 μB/atom.

***

[2]
Computed, not measured: crystalline VInAu3 at its relaxed geometry at the GGA-PBE level of DFT.

Lattice parameters (Å, degrees): 5.0454 5.0454 5.0454 90.00 90.00 90.00
Last column: nearest neighbours and their distance in Å.
Fractional positions:
In: 0.5000 0.5000 0.5000  12 Au 3.57
Au: 0.0000 0.5000 0.0000  2 V 2.52
Au: 0.0000 0.0000 0.5000  2 V 2.52
Au: 0.5000 0.0000 0.0000  2 V 2.52
V: 0.0000 0.0000 0.0000  6 Au 2.52

The calculated volume comes out at 128.4 Å³ per cell. For the formation enthalpy at 0 K, the calculation gives 2.94 eV/f.u. The value obtained for the raw total energy is -3.750 eV/atom. The total magnetization comes out at 0.5320 μB/atom.

***

Look up the total magnetization of the second one. 0.5320 μB/atom

***

total magnetization of number 2 (VInAu3)? 0.5320 μB/atom